NbFe2I: optimized geometry, PBE.

Cell lengths 5.5318, 5.5318, 6.8586 Å; angles 66.22, 66.22, 90.00 degrees
With the nearest neighbours (Å) after each atom.
Fractional coordinates of all 8 atoms:
I 0.0000 0.0000 0.0000  4 Fe 2.46
I 0.7500 0.2500 0.5000  4 Fe 2.46
Nb 0.5000 0.5000 0.0000  4 Fe 2.37
Nb 0.2500 0.7500 0.5000  4 Fe 2.37
Fe 0.6106 0.1250 0.2500  2 Nb 2.37, 2 I 2.46
Fe 0.1394 0.6250 0.2500  2 Nb 2.37, 2 I 2.46
Fe 0.3750 0.3894 0.7500  2 Nb 2.37, 2 I 2.46
Fe 0.8750 0.8606 0.7500  2 Nb 2.37, 2 I 2.46

formation energy without anion corrections = 1.13 eV/atom
space-group type = No. 122
offset from the most stable computed form = 314 meV/atom


LiAl2As: optimized geometry, PBE.

Cell lengths 2.8868, 2.8868, 8.1854 Å; angles 90.00, 90.00, 90.00 degrees
With the nearest neighbours (Å) after each atom.
Fractional coordinates of all 4 atoms:
Al 0.0000 0.0000 0.0026  8 Al 2.87-2.89, 4 Li 2.95
Al 0.5000 0.5000 0.2485  8 Al 2.87-2.89, 4 As 2.93
As 0.0000 0.0000 0.5058  4 Li 2.82, 4 As 2.89, 4 Al 2.93
Li 0.5000 0.5000 0.7432  4 As 2.82, 4 Li 2.89, 4 Al 2.95

space-group type = No. 99
ΔH_f (0 K) = -0.4 eV/f.u.


Cs2RbSe2O6: optimized geometry, PBE.

Cell lengths 6.4841, 6.4824, 8.1881 Å; angles 113.14, 90.00, 120.01 degrees
With the nearest neighbours (Å) after each atom.
Fractional coordinates of all 11 atoms:
Cs 0.7002 0.4004 0.1009  9 O 3.21-3.38
Cs 0.2998 0.5996 0.8991  9 O 3.21-3.38
Rb 0.5000 0.0000 0.5000  6 O 2.94
Se 0.8978 0.7956 0.6911  3 O 1.71
Se 0.1022 0.2044 0.3089  3 O 1.71
O 0.7825 0.5650 0.7731  1 Se 1.71
O 0.2167 0.0073 0.2248  1 Se 1.71
O 0.2093 0.9927 0.7752  1 Se 1.71
O 0.7833 0.9927 0.7752  1 Se 1.71
O 0.7907 0.0073 0.2248  1 Se 1.71
O 0.2175 0.4350 0.2269  1 Se 1.71

formation energy without anion corrections = -1.28 eV/atom
space-group type = No. 12


| no. | raw total energy (eV/atom) |
| --- | --- |
| 1 | -6.004 |
| 2 | -3.602 |
| 3 | -4.861 |